[1]
## AlZn2Co2 (PBE)

Data for an optimized crystal structure of AlZn2Co2.

Unit cell a=5.945 b=5.945 c=3.766 alpha=90.00 beta=90.00 gamma=90.00
Space group P4/mbm (No. 127)
Unique sites:
1 Al 0.000 0.000 0.000 x2
2 Zn 0.162 0.338 0.500 x4
3 Co 0.136 0.636 0.000 x4

Computed properties:
DFT total energy ... -4.199 eV per atom
Formation energy ... -0.10 eV per atom
Excess energy over the best structure of this formula in the dataset ... 0.000 eV/f.u.

[2]
## EuZn2Rh (PBE)

Data for an optimized crystal structure of EuZn2Rh.

Unit cell a=3.229 b=3.229 c=7.140 alpha=90.00 beta=90.00 gamma=90.00
Space group P4/mmm (No. 123)
Unique sites:
1 Eu 0.000 0.000 0.000 x1
2 Zn 0.500 0.500 0.313 x2
3 Rh 0.000 0.000 0.500 x1

Computed properties:
DFT total energy ... -5.323 eV per atom
Formation energy ... -0.28 eV per atom

[3]
## PmAlSe (PBE)

Data for an optimized crystal structure of PmAlSe.

Unit cell a=4.3888 b=4.3888 c=32.2842 alpha=90.00 beta=90.00 gamma=120.00
Space group R-3m (No. 166, hexagonal axes)
Unique sites:
1 Pm 0.0000 0.0000 0.0730 x6
2 Al 0.0000 0.0000 0.3334 x6
3 Se 0.0000 0.0000 0.2198 x6

Computed properties:
DFT total energy ... -4.966 eV per atom
ΔE_f (raw) ... -2.92 eV per formula unit

[4]
## Dy2PaBi3 (PBE)

Data for an optimized crystal structure of Dy2PaBi3.

Unit cell a=4.485 b=4.485 c=18.962 alpha=90.00 beta=90.00 gamma=90.00
Space group I4/mmm (No. 139)
Unique sites:
1 Dy 0.000 0.000 0.168 x4
2 Pa 0.000 0.000 0.500 x2
3 Bi 0.000 0.000 0.000 x2
4 Bi 0.000 0.000 0.333 x4

Computed properties:
DFT total energy ... -5.638 eV per atom
Formation energy ... -0.58 eV per atom

[5]
## NiTePd3 (PBE)

Data for an optimized crystal structure of NiTePd3.

Unit cell a=4.610 b=4.610 c=4.610 alpha=90.00 beta=90.00 gamma=90.00
Space group Pm-3m (No. 221)
Unique sites:
1 Ni 0.000 0.000 0.000 x1
2 Te 0.500 0.500 0.500 x1
3 Pd 0.000 0.000 0.500 x3

Computed properties:
DFT total energy ... -4.340 eV per atom
ΔE_f (raw) ... 2.80 eV per formula unit
Excess energy over the best structure of this formula in the dataset ... 0.000 eV/f.u.

[6]
## CaMgCd4 (PBE)

Data for an optimized crystal structure of CaMgCd4.

Unit cell a=4.527 b=18.655 c=7.101 alpha=90.00 beta=90.00 gamma=90.00
Space group Cmcm (No. 63)
Unique sites:
1 Ca 0.000 0.109 0.250 x4
2 Mg 0.000 0.233 0.750 x4
3 Cd 0.000 0.070 0.750 x4
4 Cd 0.000 0.339 0.045 x8
5 Cd 0.000 0.500 0.000 x4

Computed properties:
DFT total energy ... -1.375 eV per atom
Formation energy ... -0.17 eV per atom
Excess energy over the best structure of this formula in the dataset ... 0.282 eV/f.u.